VASP calculation (PBE-GGA) on an optimized crystal structure of AcPr4Nd15.

Structure (extended XYZ):
```
20
Lattice="5.243 0.000 0.000 0.000 5.243 0.000 0.000 0.000 26.162" Properties=species:S:1:pos:R:3 pbc="T T T"
Ac 0.000 0.000 0.000
Pr 0.000 0.000 5.276
Pr 0.000 0.000 10.483
Pr 0.000 0.000 15.679
Pr 0.000 0.000 20.886
Nd 0.000 2.621 2.695
Nd 0.000 2.621 7.884
Nd 0.000 2.621 13.081
Nd 0.000 2.621 18.278
Nd 0.000 2.621 23.467
Nd 2.621 0.000 2.695
Nd 2.621 0.000 7.884
Nd 2.621 0.000 13.081
Nd 2.621 0.000 18.278
Nd 2.621 0.000 23.467
Nd 2.621 2.621 0.000
Nd 2.621 2.621 5.296
Nd 2.621 2.621 10.482
Nd 2.621 2.621 15.680
Nd 2.621 2.621 20.866
```

Energy of formation   0.02 eV/atom
ρ   6.82 g cm⁻³
V   719.1 Å³ per cell
Total DFT energy (no corrections)   -0.173 Ha/atom
Total magnetic moment   0.0 Bohr magnetons per cell